(1)
TmLuAlAu: optimized geometry, PBE.

Unit cell a=5.0400 b=5.0400 c=5.0400 alpha=60.00 beta=60.00 gamma=60.00
Atoms (fractional coordinates):
Lu1 0.7500 0.7500 0.7500
Au1 0.0000 0.0000 0.0000
Tm1 0.2500 0.2500 0.2500
Al1 0.5000 0.5000 0.5000

Calculated values
SG ... F-43m (216)
Crystal system ... cubic

---

(2)
YLuAlAu: optimized geometry, PBE.

Unit cell a=5.0795 b=5.0795 c=5.0795 alpha=60.00 beta=60.00 gamma=60.00
Atoms (fractional coordinates):
Al1 0.5000 0.5000 0.5000
Au1 0.0000 0.0000 0.0000
Y1 0.7500 0.7500 0.7500
Lu1 0.2500 0.2500 0.2500

Calculated values
SG ... F-43m (216)
Crystal system ... cubic

---

(3)
MgAl2Au3: optimized geometry, PBE.

Unit cell a=4.6904 b=7.2400 c=6.3805 alpha=90.00 beta=89.99 gamma=70.55
Atoms (fractional coordinates):
Au1 0.5002 0.0000 0.7380
Au2 0.8375 0.3249 0.2586
Au3 0.1622 0.6751 0.2586
Au4 0.1625 0.6751 0.7414
Au5 0.4998 0.0000 0.2620
Au6 0.8378 0.3249 0.7414
Al1 0.3284 0.3410 0.5000
Al2 0.0000 0.0000 0.5000
Al3 0.0000 0.0000 0.0000
Al4 0.6716 0.6590 0.5000
Mg1 0.3328 0.3347 0.0000
Mg2 0.6672 0.6653 0.0000

Calculated values
SG ... P2/m (10)
Crystal system ... monoclinic

---

| no. | electronic total energy (eV per atom) | DOS(E_F) (states/eV/atom) |
| --- | --- | --- |
| 1 | -4.59 | 0.399 |
| 2 | -5.09 | 0.457 |
| 3 | -3.56 | 0.218 |